i:
A plane-wave DFT calculation with GGA-PBE was carried out for a relaxed structure of Rb2LiW.

```
Rb2LiW
1.0
-0.426 2.947 5.533
-1.429 6.115 0.201
-5.607 1.847 2.153
Rb W Li
2 1 1
Cartesian
-1.866 2.727 1.972
-5.597 8.182 5.915
-3.731 5.454 3.943
0.000 0.000 0.000
```

Output
Its total moment is 4.954 Bohr magnetons per cell. For the density of states at the Fermi level, the calculation gives 1.55 states/eV/f.u.



ii:
A plane-wave DFT calculation with GGA-PBE was carried out for a relaxed structure of Rb2LiW.

```
Rb2LiW
1.0
10.057 0.000 0.000
0.000 10.057 0.000
5.028 5.028 3.456
Rb W Li
4 2 2
Cartesian
7.476 2.514 0.864
2.581 7.543 0.864
7.543 7.609 2.592
12.571 12.504 2.592
0.000 0.000 0.000
10.057 5.028 1.728
5.028 5.028 0.000
5.028 10.057 1.728
```

Output
Its total moment is 9.962 Bohr magnetons per cell. For the density of states at the Fermi level, the calculation gives 2.30 states/eV/f.u.



What are the relative energies? In kJ/mol of atoms: i 0.0; ii 7.6.



i:
A plane-wave DFT calculation with GGA-PBE was carried out for a relaxed structure of RbLi3Y.

```
RbLi3Y
1.0
5.375 0.000 0.000
0.000 5.375 0.000
0.000 0.000 5.375
Y Rb Li
1 1 3
Cartesian
2.687 2.687 2.687
0.000 0.000 0.000
0.000 2.687 0.000
0.000 0.000 2.687
2.687 0.000 0.000
```

Output
Its total moment is 0.000 Bohr magnetons per cell. For the density of states at the Fermi level, the calculation gives 4.61 states/eV/f.u.



ii:
A plane-wave DFT calculation with GGA-PBE was carried out for a relaxed structure of RbLi3Y.

```
RbLi3Y
1.0
-3.373 -2.210 4.667
-1.928 -4.633 -3.587
4.790 -3.421 1.843
Y Rb Li
1 1 3
Cartesian
0.000 0.000 0.000
-0.255 -5.132 1.461
-0.964 -2.316 -1.793
2.395 -1.710 0.921
-1.687 -1.105 2.334
```

Output
Its total moment is 1.870 Bohr magnetons per cell. For the density of states at the Fermi level, the calculation gives 5.82 states/eV/f.u.



What are the relative energies? In kJ/mol of atoms: i 3.8; ii 0.0.



i:
A plane-wave DFT calculation with GGA-PBE was carried out for a relaxed structure of Rb3LiY.

```
Rb3LiY
1.0
7.579 0.000 0.000
0.000 7.579 0.000
0.000 0.000 7.579
Y Rb Li
1 3 1
Cartesian
0.000 0.000 0.000
0.000 3.790 0.000
0.000 0.000 3.790
3.790 0.000 0.000
3.790 3.790 3.790
```

Output
Its total moment is 3.000 Bohr magnetons per cell. For the density of states at the Fermi level, the calculation gives 17.19 states/eV/f.u.



ii:
A plane-wave DFT calculation with GGA-PBE was carried out for a relaxed structure of Rb3LiY.

```
Rb3LiY
1.0
6.851 0.000 0.000
0.000 6.851 0.000
0.000 0.000 6.851
Y Rb Li
1 3 1
Cartesian
3.425 3.425 3.425
0.000 3.425 0.000
0.000 0.000 3.425
3.425 0.000 0.000
0.000 0.000 0.000
```

Output
Its total moment is 0.963 Bohr magnetons per cell. For the density of states at the Fermi level, the calculation gives 6.21 states/eV/f.u.



What are the relative energies? In kJ/mol of atoms: i 18.3; ii 0.0.



i:
A plane-wave DFT calculation with GGA-PBE was carried out for a relaxed structure of Rb2LiY2.

```
Rb2LiY2
1.0
4.551 0.000 0.000
0.000 4.551 0.000
2.276 2.276 12.810
Y Rb Li
2 2 1
Cartesian
4.551 2.276 6.405
2.276 4.551 6.405
2.276 2.276 2.677
4.551 4.551 10.132
0.000 0.000 0.000
```

Output
Its total moment is 0.000 Bohr magnetons per cell. For the density of states at the Fermi level, the calculation gives 8.38 states/eV/f.u.



ii:
A plane-wave DFT calculation with GGA-PBE was carried out for a relaxed structure of Rb2LiY2.

```
Rb2LiY2
1.0
7.828 0.000 0.000
0.000 7.828 0.000
0.000 0.000 6.795
Y Rb Li
4 4 2
Cartesian
1.362 5.276 3.397
5.276 6.466 3.397
6.466 2.552 3.397
2.552 1.362 3.397
2.743 6.657 0.000
6.657 5.085 0.000
5.085 1.171 0.000
1.171 2.743 0.000
0.000 0.000 0.000
3.914 3.914 0.000
```

Output
Its total moment is 1.825 Bohr magnetons per cell. For the density of states at the Fermi level, the calculation gives 2.92 states/eV/f.u.



What are the relative energies? In kJ/mol of atoms: i 0.0; ii 26.0.



i:
A plane-wave DFT calculation with GGA-PBE was carried out for a relaxed structure of Rb2Li2Y.

```
Rb2Li2Y
1.0
10.559 0.000 0.000
0.000 10.559 0.000
0.000 0.000 3.821
Y Rb Li
2 4 4
Cartesian
0.000 0.000 0.000
5.279 5.279 0.000
1.507 6.787 1.910
6.787 9.051 1.910
9.051 3.772 1.910
3.772 1.507 1.910
3.535 8.814 0.000
8.814 7.024 0.000
7.024 1.745 0.000
1.745 3.535 0.000
```

Output
Its total moment is 0.486 Bohr magnetons per cell. For the density of states at the Fermi level, the calculation gives 4.94 states/eV/f.u.



ii:
A plane-wave DFT calculation with GGA-PBE was carried out for a relaxed structure of Rb2Li2Y.

```
Rb2Li2Y
1.0
-5.000 -0.864 -0.020
0.514 -2.878 -4.146
-1.126 -8.445 2.618
Y Rb Li
1 2 2
Cartesian
0.000 0.000 0.000
-4.184 -5.590 0.257
-1.427 -6.597 -1.806
-2.069 -2.893 -1.353
-3.542 -9.294 -0.196
```

Output
Its total moment is 0.308 Bohr magnetons per cell. For the density of states at the Fermi level, the calculation gives 4.32 states/eV/f.u.



What are the relative energies? In kJ/mol of atoms: i 0.0; ii 5.4.



i:
A plane-wave DFT calculation with GGA-PBE was carried out for a relaxed structure of RbLiZr3.

```
RbLiZr3
1.0
5.133 0.000 0.000
0.000 5.133 0.000
0.000 0.000 5.133
Rb Zr Li
1 3 1
Cartesian
0.000 0.000 0.000
0.000 2.566 0.000
0.000 0.000 2.566
2.566 0.000 0.000
2.566 2.566 2.566
```

Output
Its total moment is 0.000 Bohr magnetons per cell. For the density of states at the Fermi level, the calculation gives 5.70 states/eV/f.u.



ii:
A plane-wave DFT calculation with GGA-PBE was carried out for a relaxed structure of RbLiZr3.

```
RbLiZr3
1.0
5.101 0.000 0.000
0.000 5.101 0.000
0.000 0.000 5.101
Rb Zr Li
1 3 1
Cartesian
2.551 2.551 2.551
0.000 2.551 0.000
0.000 0.000 2.551
2.551 0.000 0.000
0.000 0.000 0.000
```

Output
Its total moment is 0.000 Bohr magnetons per cell. For the density of states at the Fermi level, the calculation gives 7.57 states/eV/f.u.



What are the relative energies? In kJ/mol of atoms: i 79.8; ii 0.0.



i:
A plane-wave DFT calculation with GGA-PBE was carried out for a relaxed structure of RbLi2Zr.

```
RbLi2Zr
1.0
-6.776 3.764 -3.203
-0.254 -5.693 -6.153
-5.598 -3.022 -2.688
Rb Zr Li
2 2 4
Cartesian
-3.515 -0.965 -4.678
-4.684 -4.840 -6.759
0.000 0.000 0.000
-7.944 -0.112 -5.284
-5.766 0.940 -3.490
-2.306 -3.899 -4.871
-6.831 -2.906 -5.434
-10.353 -4.039 -10.293
```

Output
Its total moment is 5.327 Bohr magnetons per cell. For the density of states at the Fermi level, the calculation gives 4.51 states/eV/f.u.



ii:
A plane-wave DFT calculation with GGA-PBE was carried out for a relaxed structure of RbLi2Zr.

```
RbLi2Zr
1.0
2.598 -4.852 1.011
-2.969 -4.721 0.462
0.303 -3.899 -4.002
Rb Zr Li
1 1 2
Cartesian
0.000 0.000 0.000
-0.034 -6.735 -1.265
-0.017 -3.368 -0.632
-0.051 -10.103 -1.897
```

Output
Its total moment is 2.672 Bohr magnetons per cell. For the density of states at the Fermi level, the calculation gives 5.51 states/eV/f.u.



What are the relative energies? In kJ/mol of atoms: i 5.8; ii 0.0.



i:
A plane-wave DFT calculation with GGA-PBE was carried out for a relaxed structure of LiRe.

```
LiRe
1.0
-1.632 -0.914 3.811
-0.798 -4.034 1.056
2.390 -1.942 2.923
Li Re
2 2
Cartesian
0.000 0.000 0.000
-0.010 -1.722 1.947
-0.020 -3.444 3.895
-0.031 -5.167 5.842
```

Output
Its total moment is 0.000 Bohr magnetons per cell. For the density of states at the Fermi level, the calculation gives 1.37 states/eV/f.u.



ii:
A plane-wave DFT calculation with GGA-PBE was carried out for a relaxed structure of LiRe.

```
LiRe
1.0
-0.959 -2.309 1.202
2.717 0.559 0.041
-1.087 4.690 8.145
Li Re
2 2
Cartesian
-1.072 4.627 8.035
-0.020 -0.117 2.961
-0.560 2.414 4.192
-0.533 2.095 6.804
```

Output
Its total moment is 0.000 Bohr magnetons per cell. For the density of states at the Fermi level, the calculation gives 0.72 states/eV/f.u.



iii:
A plane-wave DFT calculation with GGA-PBE was carried out for a relaxed structure of LiRe.

```
LiRe
1.0
-0.309 3.531 -0.365
-0.498 -1.512 3.187
4.477 0.487 0.930
Li Re
2 2
Cartesian
0.000 0.000 0.000
2.239 0.244 0.465
0.685 0.291 2.236
2.986 2.215 1.517
```

Output
Its total moment is 0.000 Bohr magnetons per cell. For the density of states at the Fermi level, the calculation gives 1.21 states/eV/f.u.



iv:
A plane-wave DFT calculation with GGA-PBE was carried out for a relaxed structure of LiRe.

```
LiRe
1.0
3.069 0.000 0.000
0.000 3.069 0.000
0.000 0.000 6.467
Li Re
2 2
Cartesian
0.000 0.000 0.006
1.535 1.535 1.610
0.000 0.000 3.387
1.535 1.535 4.697
```

Output
Its total moment is 0.000 Bohr magnetons per cell. For the density of states at the Fermi level, the calculation gives 1.61 states/eV/f.u.



What are the relative energies? In kJ/mol of atoms: i 6.5; ii 0.0; iii 131.1; iv 12.4.



i:
A plane-wave DFT calculation with GGA-PBE was carried out for a relaxed structure of LiRe.

```
LiRe
1.0
8.645 0.000 0.000
0.000 8.645 0.000
0.000 0.000 8.645
Li Re
8 8
Cartesian
1.761 1.761 1.761
1.761 6.884 6.884
6.884 1.761 6.884
6.884 6.884 1.761
6.084 6.084 6.084
6.084 2.561 2.561
2.561 6.084 2.561
2.561 2.561 6.084
3.462 3.462 3.462
3.462 5.183 5.183
5.183 3.462 5.183
5.183 5.183 3.462
7.785 7.785 7.785
7.785 0.860 0.860
0.860 7.785 0.860
0.860 0.860 7.785
```

Output
Its total moment is 11.820 Bohr magnetons per cell. For the density of states at the Fermi level, the calculation gives 2.05 states/eV/f.u.



ii:
A plane-wave DFT calculation with GGA-PBE was carried out for a relaxed structure of LiRe.

```
LiRe
1.0
3.613 0.000 0.000
1.807 3.129 0.000
1.807 1.043 2.950
Li Re
1 1
Cartesian
0.000 0.000 0.000
5.420 3.129 2.213
```

Output
Its total moment is 0.000 Bohr magnetons per cell. For the density of states at the Fermi level, the calculation gives 2.39 states/eV/f.u.



What are the relative energies? In kJ/mol of atoms: i 0.0; ii 126.8.



i:
A plane-wave DFT calculation with GGA-PBE was carried out for a relaxed structure of LiRe.

```
LiRe
1.0
1.270 5.390 0.011
-1.270 5.390 0.011
0.000 1.310 6.560
Li Re
3 3
Cartesian
0.000 1.500 6.496
0.000 7.979 4.257
0.000 6.924 1.971
0.000 4.081 2.020
0.000 10.717 4.135
0.000 4.366 6.330
```

Output
Its total moment is 0.000 Bohr magnetons per cell. For the density of states at the Fermi level, the calculation gives 1.45 states/eV/f.u.



ii:
A plane-wave DFT calculation with GGA-PBE was carried out for a relaxed structure of LiRe.

```
LiRe
1.0
-10.742 2.883 5.684
-0.427 -2.658 0.540
2.182 0.442 3.899
Li Re
6 6
Cartesian
-9.487 1.104 5.183
-3.008 -0.010 4.269
-5.962 0.783 5.833
-1.700 -0.986 1.063
-0.024 -0.151 0.031
-4.683 -0.845 5.301
-3.765 -1.611 2.289
-7.664 2.419 6.600
-0.943 0.615 3.043
-7.785 -0.532 4.417
0.834 -1.378 2.275
-5.541 0.382 3.057
```

Output
Its total moment is 0.000 Bohr magnetons per cell. For the density of states at the Fermi level, the calculation gives 1.10 states/eV/f.u.



What are the relative energies? In kJ/mol of atoms: i 1.4; ii 0.0.



i:
A plane-wave DFT calculation with GGA-PBE was carried out for a relaxed structure of LiRe5.

```
LiRe5
1.0
5.122 0.019 0.000
-3.313 3.906 0.000
0.000 0.000 4.317
Li Re
1 5
Cartesian
4.888 0.127 0.000
3.520 0.757 2.159
2.099 1.412 0.000
0.670 2.070 2.159
-0.759 2.729 0.000
-2.180 3.384 2.159
```

Output
Its total moment is 0.000 Bohr magnetons per cell. For the density of states at the Fermi level, the calculation gives 2.32 states/eV/f.u.



ii:
A plane-wave DFT calculation with GGA-PBE was carried out for a relaxed structure of LiRe5.

```
LiRe5
1.0
-1.208 4.881 -0.836
-0.518 -3.430 -3.736
-4.267 -0.825 1.349
Li Re
1 5
Cartesian
0.000 0.000 0.000
-0.748 -0.659 -2.769
-0.978 2.111 -1.803
-2.738 2.028 0.257
-2.392 -2.128 -1.193
-2.997 0.313 -1.611
```

Output
Its total moment is 0.000 Bohr magnetons per cell. For the density of states at the Fermi level, the calculation gives 3.61 states/eV/f.u.



iii:
A plane-wave DFT calculation with GGA-PBE was carried out for a relaxed structure of LiRe5.

```
LiRe5
1.0
1.382 -7.154 0.000
1.382 7.154 0.000
0.000 0.000 4.433
Li Re
1 5
Cartesian
1.382 -7.143 0.000
1.382 2.363 0.000
1.382 -2.414 0.000
1.382 0.781 2.216
1.382 -3.960 2.216
1.382 5.604 2.216
```

Output
Its total moment is 0.000 Bohr magnetons per cell. For the density of states at the Fermi level, the calculation gives 5.27 states/eV/f.u.



What are the relative energies? In kJ/mol of atoms: i 0.0; ii 37.8; iii 8.4.



i:
A plane-wave DFT calculation with GGA-PBE was carried out for a relaxed structure of Li4Re.

```
Li4Re
1.0
-3.050 3.050 3.050
3.050 -3.050 3.050
3.050 3.050 -3.050
Li Re
4 1
Cartesian
-1.525 1.525 1.525
1.525 1.525 1.525
1.525 -1.525 1.525
1.525 1.525 -1.525
0.000 0.000 0.000
```

Output
Its total moment is 2.600 Bohr magnetons per cell. For the density of states at the Fermi level, the calculation gives 6.65 states/eV/f.u.



ii:
A plane-wave DFT calculation with GGA-PBE was carried out for a relaxed structure of Li4Re.

```
Li4Re
1.0
4.990 0.000 0.000
0.000 4.990 0.000
0.000 0.000 4.990
Re Li
1 4
Cartesian
2.495 2.495 2.495
0.000 0.000 0.000
2.495 0.000 2.495
0.000 2.495 2.495
2.495 2.495 0.000
```

Output
Its total moment is 2.560 Bohr magnetons per cell. For the density of states at the Fermi level, the calculation gives 7.88 states/eV/f.u.



What are the relative energies? In kJ/mol of atoms: i 0.0; ii 14.0.